DFT (PBE with a Hubbard U) results for crystalline Rb2CrPtF6 at its relaxed geometry.

E_tot = -4.830 eV per atom
Density = 5.09 Mg/m³
DOS(E_F) = 1.4 states/eV/f.u.

a b c (Å): 6.525 6.525 8.158
angles (deg): 90.00 90.00 90.00
Space group I4/mmm (No. 139)
Asymmetric unit:
Rb: 0.000 0.500 0.250
Cr: 0.000 0.000 0.000
Pt: 0.000 0.000 0.500
F: 0.000 0.000 0.244
F: 0.211 0.211 0.000